5
Lattice="-1.5573 -4.8452 -3.4094 4.3946 0.0636 -2.0977 2.1315 -3.7474 4.3519" Properties=species:S:1:pos:R:3 comment="PBE Ba2GeSeN, optimized geometry" e_form_raw_mev_per_atom=374.3 pbc="T T T"
Se 0.0000 0.0000 0.0000
Ba 1.0658 -1.8737 2.1760
N 2.4844 -4.2645 -0.5776
Ge 2.1973 0.0318 -1.0488
Ba -0.7787 -2.4226 -1.7047

=====

4
Lattice="4.8303 0.0000 0.0000 2.4152 4.1832 0.0000 2.4152 1.3944 3.9439" Properties=species:S:1:pos:R:3 comment="PBE NpPaOs2, optimized geometry" e_form_ev_per_atom=-0.0081 e_above_lowest_polymorph_ev_per_atom=0.0129 pbc="T T T"
Np 4.8303 2.7888 1.9720
Pa 0.0000 0.0000 0.0000
Os 7.2455 4.1832 2.9580
Os 2.4152 1.3944 0.9860

=====

11
Lattice="4.5805 0.0000 0.0000 0.0000 7.2350 0.6522 -2.2902 -2.2053 9.0313" Properties=species:S:1:pos:R:3 comment="PBE Pm8FeSi2, optimized geometry" e_form_raw_mev_per_atom=-188.5 pbc="T T T"
Fe 2.2902 0.0000 0.0000
Pm 0.0000 1.7700 7.5959
Pm 0.0000 5.6230 0.6717
Pm 2.2902 3.2597 2.0876
Si 0.0000 4.6321 3.7449
Pm 0.0000 5.6170 6.9904
Pm 0.0000 1.4833 4.1671
Si 2.2902 0.3976 5.9386
Pm 2.2902 -0.5873 2.6931
Pm 2.2902 -0.5933 9.0119
Pm 2.2902 3.5464 5.5164

=====

4
Lattice="3.5797 0.0000 0.0000 0.0000 3.5797 0.0000 0.0000 0.0000 8.2015" Properties=species:S:1:pos:R:3 comment="PBE PmBi2Pd, optimized geometry" e_form_ev_per_atom=-0.3281 e_above_lowest_polymorph_ev_per_atom=0.1899 pbc="T T T"
Bi 0.0000 0.0000 6.4737
Bi 0.0000 0.0000 1.7278
Pd 1.7898 1.7898 0.0000
Pm 1.7898 1.7898 4.1008

=====

12
Lattice="-1.2345 -6.1470 -0.2904 4.5276 2.1150 3.7974 -8.8972 2.4952 7.4983" Properties=species:S:1:pos:R:3 comment="PBE CaSm6Dy2Y3, optimized geometry" e_form_ev_per_atom=0.0370 pbc="T T T"
Y -4.7255 -3.5264 4.1381
Sm -0.4219 1.0059 3.4804
Dy 0.6861 -3.3932 1.0721
Sm -5.1821 -2.5427 7.5250
Y -0.8785 1.9897 6.8672
Sm -2.3827 -1.8056 2.0893
Dy 2.6071 -0.6387 2.4349
Ca 0.0000 0.0000 0.0000
Y -2.8020 -0.7684 5.5027
Sm -3.2213 0.2689 8.9160
Sm -5.8083 0.8358 6.4979
Sm 0.2043 -2.3726 4.5074

=====

9
Lattice="-6.5650 3.5763 0.1480 -1.3395 -2.2713 -4.5320 -4.2731 -6.5317 1.5033" Properties=species:S:1:pos:R:3 comment="PBE Sr5Cd2N2, optimized geometry" e_form_raw_mev_per_atom=-370.8 pbc="T T T"
Sr -10.0631 -2.2688 -1.9549
Sr -2.1145 -2.9579 -0.9257
N -3.1399 -3.6595 -3.3042
Sr -5.0691 -2.3388 -3.3959
Sr -7.1084 -2.8879 0.5152
Cd -6.8645 -6.1733 -0.9435
Cd -5.3130 0.9466 -1.9372
N -9.0376 -1.5673 0.4235
Sr 0.0000 0.0000 0.0000

=====

14
Lattice="-4.2638 2.3972 -4.1996 1.0932 -4.5099 -3.6843 -4.0257 -5.0890 5.0349" Properties=species:S:1:pos:R:3 comment="PBE UFePbS4, optimized geometry" e_form_raw_mev_per_atom=-743.4 pbc="T T T"
Fe -1.5282 -4.4853 -2.1099
U -2.9890 -3.3435 0.8235
S -1.8801 -8.0913 -0.1107
S -5.6332 -4.1284 0.9998
Pb -6.1114 -6.4659 -1.0455
U -4.2072 -3.8582 -3.6726
S -1.5630 -3.0733 -3.8488
S -2.4102 -5.9044 1.6758
S -3.4794 -5.3889 -1.5828
Pb -1.0849 -0.7358 -1.8035
S -3.7168 -1.8128 -1.2662
Fe -5.6680 -2.7164 -0.7391
S -4.7860 -1.2973 -4.5248
S -5.3161 0.8896 -2.7383

=====

5
Lattice="-3.3447 3.0593 1.9616 -3.5399 -3.3458 -0.8176 0.8224 -1.9596 4.4584" Properties=species:S:1:pos:R:3 comment="PBE Sc3AlW, optimized geometry" e_form_ev_per_atom=1.1712 e_above_lowest_polymorph_ev_per_atom=0.5150 pbc="T T T"
Sc 0.4112 -0.9798 2.2292
Sc -1.7700 -1.6729 -0.4088
Sc -1.6723 1.5297 0.9808
W -3.0311 -1.1231 2.8012
Al 0.0000 0.0000 0.0000

=====

9
Lattice="4.0905 0.6190 -1.1159 0.5656 10.2974 -2.3674 -0.3316 -0.1972 10.0062" Properties=species:S:1:pos:R:3 comment="PBE Zn2HgI6, optimized geometry" e_form_raw_mev_per_atom=-471.8 pbc="T T T"
I 3.6582 5.8316 0.7408
I 0.6662 4.8875 5.7822
Zn 4.0225 7.3373 2.8944
Zn 0.3019 3.3818 3.6286
I 0.5635 8.4168 -1.1678
I 2.5414 2.1094 2.9022
I 3.7609 2.3023 7.6908
Hg 2.0452 0.3095 -0.5579
I 1.7830 8.6097 3.6208

=====

7
Lattice="-3.7863 1.4560 -2.9925 0.9919 -6.0961 0.0248 -4.8739 0.2834 6.3047" Properties=species:S:1:pos:R:3 comment="PBE Tb2PmY2Ho2, optimized geometry" e_form_ev_per_atom=0.0194 pbc="T T T"
Pm 0.0000 0.0000 0.0000
Ho -2.1672 -4.5214 0.5422
Tb -2.9750 -1.5356 -1.2287
Tb -4.6933 -2.8211 4.5658
Y -2.3494 -1.4112 2.2860
Y -5.3189 -2.9455 1.0511
Ho -5.5012 0.1647 2.7949

=====

14
Lattice="-1.4415 -1.9983 -7.1185 -6.5384 -3.0414 2.1778 -3.4518 6.5955 -1.1525" Properties=species:S:1:pos:R:3 comment="PBE Ga3SnHg3, optimized geometry" e_form_ev_per_atom=0.3680 pbc="T T T"
Sn -5.7159 0.7779 -3.0466
Hg -3.6296 -2.0203 -0.6907
Hg -6.6297 1.0167 1.0571
Ga -5.6246 -3.2802 -1.9259
Ga -5.8581 3.4260 0.2246
Sn 0.0000 0.0000 0.0000
Hg -4.3504 -3.0194 -4.2500
Ga -2.8070 1.7991 -5.9151
Hg -1.5837 0.6497 -3.8474
Ga -4.1322 0.1282 0.8008
Ga -2.3554 -1.7595 -3.0148
Hg -3.3605 2.5374 -0.0318
Ga -2.0863 2.7982 -2.3558
Hg -3.3096 3.9475 -4.4236

=====

13
Lattice="9.7187 -0.0008 -5.2435 -6.2734 9.0880 -0.0005 -2.3580 -1.6273 7.2582" Properties=species:S:1:pos:R:3 comment="PBE Nd4Dy8Er, optimized geometry" e_form_ev_per_atom=0.5128 pbc="T T T"
Dy 7.6411 1.7920 -3.5018
Dy -6.5538 5.6679 5.5160
Dy 4.3849 6.5091 -3.5020
Dy -1.5094 5.6675 2.7944
Nd 4.8594 -0.0004 -2.6217
Dy -0.3747 6.4506 -0.6955
Dy 1.4620 1.0094 2.7097
Nd -5.4947 2.9167 7.2580
Er -4.3157 3.7304 3.6289
Dy 2.5967 1.7924 -0.7802
Dy -3.2976 0.9508 5.5163
Nd 1.7226 4.5436 -2.6220
Nd 0.0000 0.0000 0.0000

=====

5
Lattice="-1.4336 4.8374 -1.9674 -4.8209 -2.0102 -1.4298 -2.0075 1.3729 4.8385" Properties=species:S:1:pos:R:3 comment="PBE RbFeS3, optimized geometry" e_form_raw_mev_per_atom=1757.6 e_above_lowest_polymorph_ev_per_atom=1.8024 pbc="T T T"
S -1.0038 0.6865 2.4193
S -2.4105 -1.0051 -0.7149
Rb 0.0000 0.0000 0.0000
S -0.7168 2.4187 -0.9837
Fe -4.1310 2.1001 0.7207

=====

20
Lattice="-6.2400 -0.2783 -4.8745 -4.5806 -2.2776 6.0125 -2.0114 7.3172 2.1757" Properties=species:S:1:pos:R:3 comment="PBE Tm3GaCu, optimized geometry" e_form_ev_per_atom=-0.2150 pbc="T T T"
Tm -10.6911 -1.0497 1.9736
Tm -8.0824 2.7236 -1.5861
Cu -2.5532 0.6405 1.6611
Tm -2.1410 5.8109 1.3402
Tm -5.5267 6.7245 1.3577
Tm -5.7791 5.3605 4.4899
Ga -4.4639 3.9146 2.2899
Ga -7.0875 5.6293 -0.8887
Tm -3.0556 2.8162 -0.0491
Ga -8.3682 0.8466 1.0239
Tm -7.0530 -0.5993 -1.1761
Tm -5.4814 0.9244 1.6263
Cu -7.4665 3.1110 4.5493
Tm -9.7765 1.9450 3.3628
Tm -7.3054 -1.9633 1.9561
Cu -10.2789 4.1207 1.6526
Tm -4.7497 2.0376 4.8998
Tm -7.3507 3.8367 1.6875
Cu -5.3656 1.6501 -1.2355
Ga -5.7446 -0.8681 4.2024

=====

11
Lattice="0.5334 5.0528 1.2368 -5.8441 1.6406 -4.1819 -2.1304 -3.6546 4.7948" Properties=species:S:1:pos:R:3 comment="PBE Sc5PS5, optimized geometry" e_form_raw_mev_per_atom=-1879.9 pbc="T T T"
S -2.1750 -0.4778 2.8903
S -5.1328 0.3471 0.7959
Sc 0.2667 2.5264 0.6184
S -2.9221 0.8203 -2.0910
Sc -2.0118 2.0441 3.5717
Sc -5.4292 0.9947 -1.7221
Sc -2.5657 0.1796 0.3727
P 0.0000 0.0000 0.0000
Sc -4.8754 2.8591 1.4769
S -2.3082 2.6917 1.0538
S -5.2661 3.5166 -1.0407

=====

10
Lattice="7.0485 0.0000 0.0000 0.0000 7.0485 0.0000 0.0000 0.0000 3.9994" Properties=species:S:1:pos:R:3 comment="PBE NbGe2Se2, optimized geometry" e_form_raw_mev_per_atom=177.7 e_above_lowest_polymorph_ev_per_atom=0.0000 pbc="T T T"
Nb 0.0000 0.0000 0.0000
Ge 6.0890 4.4837 0.0000
Se 2.1374 1.3868 1.9997
Ge 2.5647 6.0890 0.0000
Se 1.3868 4.9111 1.9997
Nb 3.5242 3.5242 0.0000
Se 4.9111 5.6616 1.9997
Ge 4.4837 0.9595 0.0000
Ge 0.9595 2.5647 0.0000
Se 5.6616 2.1374 1.9997

=====

4
Lattice="-4.0258 3.9276 -6.5602 -6.0207 3.8490 -4.8585 -4.2819 5.8103 -4.7514" Properties=species:S:1:pos:R:3 comment="PBE MnFe2W, optimized geometry" e_form_ev_per_atom=0.3133 e_above_lowest_polymorph_ev_per_atom=0.2714 pbc="T T T"
Fe -7.2543 6.8789 -8.1868
W -10.7463 10.1902 -12.1276
Mn -3.5821 3.3967 -4.0425
Fe -14.2383 13.5015 -16.0684

=====

4
Lattice="-0.4574 -0.7169 -3.1981 -4.5203 -3.6260 1.4593 -2.8646 3.4269 -0.3585" Properties=species:S:1:pos:R:3 comment="PBE ZrCrBr2, optimized geometry" e_form_raw_mev_per_atom=61.4 e_above_lowest_polymorph_ev_per_atom=0.4555 pbc="T T T"
Cr -1.6610 1.3550 -1.7783
Br -2.4889 -2.1714 -0.8694
Br 0.0000 0.0000 0.0000
Zr -3.6925 -0.0996 0.5504

=====

5
Lattice="-3.7493 1.9648 -4.4698 -3.3538 -5.1321 0.5573 -3.2520 2.5428 3.8455" Properties=species:S:1:pos:R:3 comment="PBE RbNaInBr2, optimized geometry" e_form_raw_mev_per_atom=-733.5 pbc="T T T"
Br -1.8746 0.9824 -2.2349
Rb -5.1776 -0.3122 -0.0335
Na -1.6260 1.2714 1.9228
Br -1.6769 -2.5660 0.2787
In 0.0000 0.0000 0.0000

=====

10
Lattice="-4.7702 -2.2596 2.7630 -1.4252 1.7515 5.5132 -4.8234 3.3618 0.9634" Properties=species:S:1:pos:R:3 comment="PBE Li3ClO, optimized geometry" e_form_raw_mev_per_atom=-1588.9 e_above_lowest_polymorph_ev_per_atom=0.2338 pbc="T T T"
Cl 0.0000 0.0000 0.0000
Cl -5.5094 1.4268 4.6198
Li -6.5320 -0.3556 5.8892
O -2.7547 0.7134 2.3099
Li -4.4867 3.2093 3.3504
Li -5.1885 2.9429 6.4726
Li -7.5623 2.4066 3.8075
Li -3.4565 0.4470 5.4321
O -8.2641 2.1402 6.9297
Li -5.8302 -0.0892 2.7670

=====

11
Lattice="6.4440 -0.0021 -1.6227 0.0042 9.3131 0.0040 -2.0210 -0.0020 6.3304" Properties=species:S:1:pos:R:3 comment="PBE Ho7Er2Sc2, optimized geometry" e_form_ev_per_atom=0.3588 e_above_lowest_polymorph_ev_per_atom=0.2156 pbc="T T T"
Ho 2.2104 1.6919 2.3564
Ho -1.0055 6.4517 3.1655
Ho 0.0000 0.0000 0.0000
Er 1.1062 4.6555 1.1771
Ho 1.2066 6.4497 5.5200
Ho 2.2169 7.6171 2.3554
Sc 0.2735 -0.0018 4.1747
Ho 3.2207 2.8593 -0.8082
Ho 5.4328 2.8573 1.5463
Sc 4.1538 9.3108 0.5371
Er 3.3211 4.6535 3.5346

=====

1
Lattice="-3.5398 1.3171 3.7041 -1.8360 -3.9041 -3.0615 -0.9300 -4.2313 3.0313" Properties=species:S:1:pos:R:3 comment="PBE Cs, optimized geometry" e_form_ev_per_atom=0.0039 e_above_lowest_polymorph_ev_per_atom=0.0039 pbc="T T T"
Cs -0.4650 -2.1157 1.5156

=====

28
Lattice="4.0878 0.0000 0.0000 0.0000 6.3554 0.0000 0.0000 0.0000 17.2022" Properties=species:S:1:pos:R:3 comment="PBE PuFe2Ge4, optimized geometry" e_form_ev_per_atom=-0.2056 pbc="T T T"
Ge 3.0658 6.3440 1.3212
Pu 1.0219 3.0907 14.8408
Ge 1.0219 0.0114 15.8809
Ge 3.0658 1.1673 14.0227
Fe 3.0658 2.9899 12.3044
Ge 3.0658 4.6481 5.2014
Ge 3.0658 5.4556 8.0769
Fe 1.0219 3.3655 4.8977
Fe 3.0658 0.1878 3.7034
Ge 3.0658 3.1890 9.9223
Fe 3.0658 1.6937 8.0163
Ge 1.0219 5.1881 3.1794
Ge 1.0219 2.2779 0.5241
Pu 3.0658 6.2684 10.9624
Fe 3.0658 1.4839 16.6174
Fe 1.0219 4.6616 9.1859
Ge 3.0658 2.0104 5.4216
Pu 3.0658 3.2646 2.3614
Ge 3.0658 4.0775 16.6780
Fe 1.0219 6.1676 13.4988
Pu 1.0219 0.0870 6.2397
Ge 3.0658 4.8850 13.8025
Ge 1.0219 0.8998 9.1252
Ge 1.0219 1.4704 3.3997
Fe 1.0219 4.8714 0.5848
Ge 1.0219 1.7073 12.0007
Ge 1.0219 4.3450 11.7805
Ge 1.0219 3.1663 7.2799

=====

no.,ρ (g/cm³),density of states at the Fermi level (states/eV/cell)
1,4.000,5.49
2,17.680,7.53
3,6.905,12.81
4,10.576,3.10
5,6.372,14.53
6,3.915,5.64
7,6.996,16.94
8,4.764,23.20
9,4.395,0.00
10,7.184,9.97
11,7.223,7.72
12,7.144,20.38
13,2.483,9.32
14,8.646,20.19
15,3.238,3.68
16,6.621,7.81
17,11.478,5.17
18,5.679,3.00
19,2.975,1.03
20,1.628,0.00
21,7.505,19.37
22,1.933,1.40
23,9.605,50.99